Compound: NaTa2WO8
Source: the Alexandria database
Functional: PBE+U
Structure: optimized geometry

Cell and atoms, written as CIF:
```
data_NaTa2WO8
_chemical_formula_sum 'Na2 Ta4 W2 O16'
_cell_length_a 6.747
_cell_length_b 6.928
_cell_length_c 6.322
_cell_angle_alpha 90.00
_cell_angle_beta 90.00
_cell_angle_gamma 90.00
_space_group_name_H-M_alt 'C m m m'
_space_group_IT_number 65
_space_group_name_Hall '-C 2 2'
loop_
_atom_site_label
_atom_site_type_symbol
_atom_site_fract_x
_atom_site_fract_y
_atom_site_fract_z
Na1 Na 0.000 0.000 0.000
Ta1 Ta 0.000 0.500 0.242
W1 W 0.000 0.000 0.500
O1 O 0.000 0.302 0.500
O2 O 0.000 0.321 0.000
O3 O 0.212 0.000 0.284
```

Results
The value obtained for the total DFT energy (no corrections) is -8.4579 eV/atom. The calculation puts the density at 7.83 g/cm³.